DFT (PBE) results for an optimized crystal structure of TbPm2GeN4.

abc: 3.5636 6.0361 12.0360
angles: 90.00 90.00 107.17
Positions (direct):
Pm1 0.3694 0.7387 0.5447
N1 0.2759 0.5518 0.3654
Ge1 0.8374 0.6748 0.7500
N2 0.7241 0.4482 0.6346
Pm2 0.6306 0.2613 0.4553
Ge2 0.1626 0.3252 0.2500
N3 0.4265 0.8530 0.7500
N4 0.0000 0.0000 0.5000
Tb1 0.1054 0.2109 0.7500
N5 0.2759 0.5518 0.1346
N6 0.5735 0.1470 0.2500
N7 0.7241 0.4482 0.8654
N8 0.0000 0.0000 0.0000
Tb2 0.8946 0.7891 0.2500
Pm3 0.6306 0.2613 0.0447
Pm4 0.3694 0.7387 0.9553

- DOS(E_F) (states/eV/cell) = 2.3
- symmetry = Cmcm
- formation energy from raw total energies (meV/atom) = -914